Density functional theory data (PBE) for a geometry-optimized AlTl2P structure.

Calculated values
- Excess energy over the best structure of this formula in the dataset: 1.978 eV/f.u.
- Magnetization: 0.000 μB/atom
- Formation energy from the elements: 0.41 eV/atom
- Space-group type: I4/mmm (139)

a = 5.5991 Å, b = 5.5991 Å, c = 5.5991 Å
α = 131.35°, β = 131.35°, γ = 71.26°
Sites, in units of the cell vectors:
Tl1 0.5000 0.5000 0.0000
Tl2 0.0000 0.0000 0.0000
Al1 0.2500 0.7500 0.5000
P1 0.7500 0.2500 0.5000